Crystalline HoThFeOs at its relaxed geometry, computed with GGA-PBE.

Calculated values
Formation energy from the elements, eV per atom: -0.078
Volume, Å³ per atom: 20.74

a b c (Å): 4.8952 4.8952 4.8952
angles (deg): 60.00 60.00 60.00
Closest atoms and distances in Å follow each position.
Element x y z (fractional)
Os 0.2500 0.2500 0.2500  4 Th 3.00, 4 Ho 3.00
Th 0.5000 0.5000 0.5000  4 Fe 3.00, 4 Os 3.00
Fe 0.7500 0.7500 0.7500  4 Ho 3.00, 4 Th 3.00
Ho 0.0000 0.0000 0.0000  4 Os 3.00, 4 Fe 3.00

---

Crystalline HoZrFeOs at its relaxed geometry, computed with GGA-PBE.

Calculated values
Formation energy from the elements, eV per atom: -0.156
Volume, Å³ per atom: 17.88

a b c (Å): 4.6589 4.6589 4.6589
angles (deg): 60.00 60.00 60.00
Closest atoms and distances in Å follow each position.
Element x y z (fractional)
Fe 0.7500 0.7500 0.7500  4 Zr 2.85, 4 Ho 2.85
Os 0.2500 0.2500 0.2500  4 Zr 2.85, 4 Ho 2.85
Ho 0.5000 0.5000 0.5000  4 Fe 2.85, 4 Os 2.85
Zr 0.0000 0.0000 0.0000  4 Fe 2.85, 4 Os 2.85

---

Crystalline HoFe5P3 at its relaxed geometry, computed with GGA-PBE.

Calculated values
Excess energy over the best structure of this formula in the dataset, meV per atom: 0
Formation energy from the elements, eV per atom: -0.746
Volume, Å³ per atom: 12.29

a b c (Å): 3.6473 10.2820 11.7984
angles (deg): 90.00 90.00 90.00
Closest atoms and distances in Å follow each position.
Element x y z (fractional)
Fe 0.2500 0.6247 0.2018  4 P 2.31-2.33, 4 Fe 2.52-2.58
P 0.2500 0.8992 0.8966  7 Fe 2.25-2.36
Fe 0.2500 0.7079 0.9892  3 P 2.25-2.47
Fe 0.2500 0.0367 0.4325  4 P 2.15-2.23
P 0.7500 0.3992 0.6034  7 Fe 2.25-2.36
Ho 0.7500 0.4195 0.2957  6 P 2.79-2.87, 10 Fe 2.94-3.10
Fe 0.2500 0.4051 0.4903  4 P 2.25-2.30
P 0.2500 0.2657 0.8717  5 Fe 2.15-2.31
Fe 0.2500 0.7921 0.4892  3 P 2.25-2.47
Fe 0.2500 0.2803 0.6763  4 P 2.22-2.36
Ho 0.2500 0.5805 0.7043  6 P 2.79-2.87, 10 Fe 2.94-3.10
Fe 0.2500 0.2197 0.1763  4 P 2.22-2.36
Fe 0.7500 0.2921 0.0108  3 P 2.25-2.47
P 0.2500 0.4227 0.1130  5 Fe 2.17-2.33
Fe 0.7500 0.2079 0.5108  3 P 2.25-2.47
Fe 0.7500 0.5949 0.5097  4 P 2.25-2.30
Fe 0.2500 0.8753 0.7018  4 P 2.31-2.33, 4 Fe 2.52-2.58
P 0.2500 0.2343 0.3717  5 Fe 2.15-2.31
P 0.2500 0.6008 0.3966  7 Fe 2.25-2.36
Fe 0.7500 0.5367 0.0675  4 P 2.15-2.23
P 0.7500 0.5773 0.8870  5 Fe 2.17-2.33
Fe 0.2500 0.0949 0.9903  4 P 2.25-2.30
Ho 0.7500 0.0805 0.7957  6 P 2.79-2.87, 10 Fe 2.94-3.10
Fe 0.7500 0.9633 0.5675  4 P 2.15-2.23
Fe 0.7500 0.7803 0.8237  4 P 2.22-2.36
Fe 0.7500 0.3753 0.7982  4 P 2.31-2.33, 4 Fe 2.52-2.58
P 0.7500 0.7343 0.1283  5 Fe 2.15-2.31
Fe 0.2500 0.4633 0.9325  4 P 2.15-2.23
P 0.7500 0.1008 0.1034  7 Fe 2.25-2.36
P 0.7500 0.9227 0.3870  5 Fe 2.17-2.33
Ho 0.2500 0.9195 0.2043  6 P 2.79-2.87, 10 Fe 2.94-3.10
Fe 0.7500 0.1247 0.2982  4 P 2.31-2.33, 4 Fe 2.52-2.58
P 0.7500 0.7657 0.6283  5 Fe 2.15-2.31
Fe 0.7500 0.9051 0.0097  4 P 2.25-2.30
Fe 0.7500 0.7197 0.3237  4 P 2.22-2.36
P 0.2500 0.0773 0.6130  5 Fe 2.17-2.33

---

Crystalline HoFe4P12 at its relaxed geometry, computed with GGA-PBE.

Calculated values
Formation energy from the elements, eV per atom: -0.585
Volume, Å³ per atom: 13.82

a b c (Å): 6.7325 6.7325 6.7325
angles (deg): 109.47 109.47 109.47
Closest atoms and distances in Å follow each position.
Element x y z (fractional)
Fe 0.5000 0.5000 0.5000  6 P 2.24
P 0.1505 0.6480 0.7985  2 Fe 2.24, 2 P 2.30-2.34
Fe 0.0000 0.0000 0.5000  6 P 2.24
P 0.8495 0.3520 0.2015  2 Fe 2.24, 2 P 2.30-2.34
Fe 0.5000 0.0000 0.0000  6 P 2.24
Fe 0.0000 0.5000 0.0000  6 P 2.24
Ho 0.0000 0.0000 0.0000  12 P 2.98
P 0.4975 0.8495 0.6480  2 Fe 2.24, 2 P 2.30-2.34
P 0.5025 0.1505 0.3520  2 Fe 2.24, 2 P 2.30-2.34
P 0.6480 0.4975 0.8495  2 Fe 2.24, 2 P 2.30-2.34
P 0.3520 0.2015 0.8495  2 Fe 2.24, 2 P 2.30-2.34
P 0.1505 0.3520 0.5025  2 Fe 2.24, 2 P 2.30-2.34
P 0.6480 0.7985 0.1505  2 Fe 2.24, 2 P 2.30-2.34
P 0.8495 0.6480 0.4975  2 Fe 2.24, 2 P 2.30-2.34
P 0.2015 0.8495 0.3520  2 Fe 2.24, 2 P 2.30-2.34
P 0.7985 0.1505 0.6480  2 Fe 2.24, 2 P 2.30-2.34
P 0.3520 0.5025 0.1505  2 Fe 2.24, 2 P 2.30-2.34

---

Crystalline Ho2Fe12P7 at its relaxed geometry, computed with GGA-PBE.

Calculated values
Formation energy from the elements, eV per atom: -0.720
Volume, Å³ per atom: 12.00

a b c (Å): 3.6340 8.9495 8.9498
angles (deg): 120.00 90.00 90.00
Closest atoms and distances in Å follow each position.
Element x y z (fractional)
P 0.5000 0.4018 0.1124  7 Fe 2.26-2.31
Ho 0.0000 0.6667 0.3334  6 P 2.85, 12 Fe 2.98-3.15
P 0.0000 0.5886 0.8855  5 Fe 2.19-2.26
Fe 0.0000 0.2750 0.1562  4 P 2.14-2.28
Fe 0.5000 0.4322 0.3841  4 P 2.26-2.31
Fe 0.5000 0.0954 0.2151  3 P 2.27-2.47
P 0.5000 0.7107 0.5983  7 Fe 2.26-2.31
P 0.5000 0.8877 0.2894  7 Fe 2.26-2.31
P 0.0000 0.2969 0.4114  5 Fe 2.19-2.26
Fe 0.0000 0.0557 0.4269  4 P 2.23-2.29, 1 Fe 2.44
Fe 0.5000 0.6159 0.0482  4 P 2.26-2.31
Fe 0.0000 0.3712 0.9443  4 P 2.23-2.29, 1 Fe 2.44
Fe 0.0000 0.5731 0.6288  4 P 2.23-2.29, 1 Fe 2.44
Fe 0.0000 0.8811 0.7250  4 P 2.14-2.28
Fe 0.5000 0.9519 0.5678  4 P 2.26-2.31
Fe 0.0000 0.8438 0.1189  4 P 2.14-2.28
Fe 0.5000 0.1197 0.9045  3 P 2.27-2.47
P 0.0000 0.0000 0.0000  3 Fe 2.14
Ho 0.5000 0.3333 0.6666  6 P 2.81, 9 Fe 2.96-3.07
Fe 0.5000 0.7849 0.8803  3 P 2.27-2.47
P 0.0000 0.1144 0.7030  5 Fe 2.19-2.26

---

Crystalline HoFe5P3 at its relaxed geometry, computed with GGA-PBE.

Calculated values
Excess energy over the best structure of this formula in the dataset, meV per atom: 92
Formation energy from the elements, eV per atom: -0.654
Volume, Å³ per atom: 13.06

a b c (Å): 3.7010 6.2223 10.6891
angles (deg): 90.00 90.00 107.30
Closest atoms and distances in Å follow each position.
Element x y z (fractional)
Fe 0.0000 0.0000 0.5000  6 Fe 2.36-2.42, 4 P 2.46
Fe 0.5404 0.0808 0.8609  4 P 2.25-2.34, 3 Fe 2.37-2.42
Fe 0.8094 0.6189 0.0634  4 P 2.13-2.30, 1 Fe 2.36
P 0.1069 0.2138 0.7500  6 Fe 2.23-2.34
Fe 0.4596 0.9192 0.3609  4 P 2.25-2.34, 3 Fe 2.37-2.42
Fe 0.0000 0.0000 0.0000  6 Fe 2.36-2.42, 4 P 2.46
Ho 0.1753 0.3505 0.2500  6 P 2.91-3.18, 4 Fe 3.15
Fe 0.5404 0.0808 0.6391  4 P 2.25-2.34, 3 Fe 2.37-2.42
P 0.3695 0.7390 0.5459  5 Fe 2.13-2.30
P 0.6305 0.2610 0.4541  5 Fe 2.13-2.30
P 0.6305 0.2610 0.0459  5 Fe 2.13-2.30
P 0.8931 0.7862 0.2500  6 Fe 2.23-2.34
P 0.3695 0.7390 0.9541  5 Fe 2.13-2.30
Fe 0.4596 0.9192 0.1391  4 P 2.25-2.34, 3 Fe 2.37-2.42
Fe 0.8094 0.6189 0.4366  4 P 2.13-2.30, 1 Fe 2.36
Ho 0.8247 0.6495 0.7500  6 P 2.91-3.18, 4 Fe 3.15
Fe 0.1906 0.3811 0.5634  4 P 2.13-2.30, 1 Fe 2.36
Fe 0.1906 0.3811 0.9366  4 P 2.13-2.30, 1 Fe 2.36

---

Crystalline HoFeP2Rh at its relaxed geometry, computed with GGA-PBE.

Calculated values
Formation energy from the elements, eV per atom: -1.000
Volume, Å³ per atom: 14.65

a b c (Å): 3.9033 3.9033 5.5441
angles (deg): 110.61 110.61 90.00
Closest atoms and distances in Å follow each position.
Element x y z (fractional)
Ho 0.0000 0.0000 0.0000  8 P 2.99, 4 Fe 3.10, 4 Rh 3.10
Fe 0.7500 0.2500 0.5000  4 P 2.32
P 0.6198 0.6198 0.2396  1 P 2.30, 2 Rh 2.32, 2 Fe 2.32
P 0.3802 0.3802 0.7604  1 P 2.30, 2 Fe 2.32, 2 Rh 2.32
Rh 0.2500 0.7500 0.5000  4 P 2.32

---

Crystalline Ho2PaFe at its relaxed geometry, computed with GGA-PBE.

Calculated values
Excess energy over the best structure of this formula in the dataset, meV per atom: 565
Formation energy from the elements, eV per atom: 0.414
Volume, Å³ per atom: 23.92

a b c (Å): 3.2480 3.2480 10.6382
angles (deg): 81.22 81.22 60.00
Closest atoms and distances in Å follow each position.
Element x y z (fractional)
Fe 0.5000 0.5000 0.5000  6 Ho 2.73
Pa 0.0000 0.0000 0.0000  6 Pa 3.25, 2 Ho 3.25
Ho 0.8965 0.8965 0.3105  3 Fe 2.73
Ho 0.1035 0.1035 0.6895  3 Fe 2.73

---

Crystalline Ho3Pa2Fe4 at its relaxed geometry, computed with GGA-PBE.

Calculated values
Formation energy from the elements, eV per atom: -0.130
Volume, Å³ per atom: 19.92

a b c (Å): 3.6618 6.4951 8.2614
angles (deg): 107.23 90.00 106.37
Closest atoms and distances in Å follow each position.
Element x y z (fractional)
Fe 0.2861 0.5721 0.9301  1 Pa 2.18
Fe 0.0935 0.1870 0.4210  2 Pa 2.44
Pa 0.6830 0.3660 0.3150  1 Fe 2.18
Ho 0.5978 0.1956 0.7072  7 Fe 2.90-3.10
Fe 0.9065 0.8130 0.5790  2 Pa 2.44
Ho 0.0000 0.0000 0.0000  6 Fe 3.14-3.31, 4 Pa 3.42
Pa 0.3170 0.6340 0.6850  1 Fe 2.18
Ho 0.4022 0.8044 0.2928  7 Fe 2.90-3.10
Fe 0.7139 0.4279 0.0699  1 Pa 2.18

---

Crystalline HoPaFe4 at its relaxed geometry, computed with GGA-PBE.

Calculated values
Formation energy from the elements, eV per atom: -0.103
Volume, Å³ per atom: 15.57

a b c (Å): 5.0929 5.0929 5.0929
angles (deg): 60.00 60.00 60.00
Closest atoms and distances in Å follow each position.
Element x y z (fractional)
Fe 0.6246 0.6245 0.6245  6 Fe 2.54-2.56
Fe 0.6246 0.6245 0.1264  6 Fe 2.54-2.56
Fe 0.1264 0.6245 0.6245  6 Fe 2.54-2.56
Pa 0.2500 0.2500 0.2500  12 Fe 2.99, 4 Ho 3.12
Ho 0.0000 0.0000 0.0000  12 Fe 2.99, 4 Pa 3.12
Fe 0.6246 0.1264 0.6245  6 Fe 2.54-2.56

---

Crystalline HoPaFe2 at its relaxed geometry, computed with GGA-PBE.

Calculated values
Excess energy over the best structure of this formula in the dataset, meV per atom: 64
Formation energy from the elements, eV per atom: -0.072
Volume, Å³ per atom: 18.37

a b c (Å): 3.3014 3.3014 6.7422
angles (deg): 90.00 90.00 90.00
Closest atoms and distances in Å follow each position.
Element x y z (fractional)
Fe 0.0000 0.0000 0.7947  4 Pa 2.71, 1 Fe 2.77
Pa 0.5000 0.5000 0.0000  8 Fe 2.71
Fe 0.0000 0.0000 0.2053  4 Pa 2.71, 1 Fe 2.77
Ho 0.5000 0.5000 0.5000  8 Fe 3.07, 4 Ho 3.30, 2 Pa 3.37

---

Crystalline HoPaFe2 at its relaxed geometry, computed with GGA-PBE.

Calculated values
Excess energy over the best structure of this formula in the dataset, meV per atom: 186
Formation energy from the elements, eV per atom: 0.049
Volume, Å³ per atom: 18.32

a b c (Å): 4.6974 4.6974 4.6974
angles (deg): 60.00 60.00 60.00
Closest atoms and distances in Å follow each position.
Element x y z (fractional)
Fe 0.7500 0.7500 0.7500  4 Ho 2.88, 4 Pa 2.88
Fe 0.2500 0.2500 0.2500  4 Pa 2.88, 4 Ho 2.88
Ho 0.5000 0.5000 0.5000  8 Fe 2.88
Pa 0.0000 0.0000 0.0000  8 Fe 2.88